Record 1
ZrSc | SCAN | PBEsol geometry

```
data_ZrSc
_space_group_name_H-M_alt 'P 1'
_space_group_IT_number 1
_cell_length_a 3.223
_cell_length_b 3.223
_cell_length_c 10.157
_cell_angle_alpha 90.00
_cell_angle_beta 90.00
_cell_angle_gamma 120.00
loop_
_space_group_symop_operation_xyz
'x,y,z'
loop_
_atom_site_label
_atom_site_fract_x
_atom_site_fract_y
_atom_site_fract_z
Sc1 0.667 0.333 0.129
Sc2 0.333 0.667 0.871
Zr1 0.333 0.667 0.376
Zr2 0.667 0.333 0.624
```

Summary:
formation energy	0.011	eV/atom
energy	-22.46	eV per atom
symmetry	No. 164



Record 2
Os3Rh | SCAN | PBEsol geometry

```
data_Os3Rh
_space_group_name_H-M_alt 'P 1'
_space_group_IT_number 1
_cell_length_a 2.723
_cell_length_b 2.723
_cell_length_c 8.614
_cell_angle_alpha 90.00
_cell_angle_beta 90.00
_cell_angle_gamma 120.00
loop_
_space_group_symop_operation_xyz
'x,y,z'
loop_
_atom_site_label
_atom_site_fract_x
_atom_site_fract_y
_atom_site_fract_z
Rh1 0.000 0.000 0.500
Os1 0.333 0.667 0.247
Os2 0.000 0.000 0.000
Os3 0.333 0.667 0.753
```

Summary:
formation energy	0.018	eV/atom
energy	-62.34	eV per atom
symmetry	No. 187



Record 3
Li3MoPb | SCAN | PBEsol geometry

```
data_Li3MoPb
_space_group_name_H-M_alt 'P 1'
_space_group_IT_number 1
_cell_length_a 4.961
_cell_length_b 4.961
_cell_length_c 4.961
_cell_angle_alpha 90.00
_cell_angle_beta 90.00
_cell_angle_gamma 90.00
loop_
_space_group_symop_operation_xyz
'x,y,z'
loop_
_atom_site_label
_atom_site_fract_x
_atom_site_fract_y
_atom_site_fract_z
Li1 0.000 0.000 0.500
Li2 0.500 0.000 0.000
Li3 0.000 0.500 0.000
Pb1 0.000 0.000 0.000
Mo1 0.500 0.500 0.500
```

Summary:
formation energy	0.782	eV/atom
energy	-22.79	eV per atom
symmetry	No. 221



Record 4
Zr2Zn2Pd | SCAN | PBEsol geometry

```
data_Zr2Zn2Pd
_space_group_name_H-M_alt 'P 1'
_space_group_IT_number 1
_cell_length_a 3.868
_cell_length_b 6.668
_cell_length_c 6.668
_cell_angle_alpha 90.00
_cell_angle_beta 90.00
_cell_angle_gamma 90.00
loop_
_space_group_symop_operation_xyz
'x,y,z'
loop_
_atom_site_label
_atom_site_fract_x
_atom_site_fract_y
_atom_site_fract_z
Zn1 0.000 0.370 0.870
Zn2 0.000 0.130 0.370
Zn3 0.000 0.870 0.630
Zn4 0.000 0.630 0.130
Pd1 0.000 0.000 0.000
Pd2 0.000 0.500 0.500
Zr1 0.500 0.328 0.172
Zr2 0.500 0.672 0.828
Zr3 0.500 0.172 0.672
Zr4 0.500 0.828 0.328
```

Summary:
formation energy	-0.500	eV/atom
energy	-24.74	eV per atom
symmetry	No. 127



Record 5
Ca5TiSn4B10O30 | SCAN | PBEsol geometry

```
data_Ca5TiSn4B10O30
_space_group_name_H-M_alt 'P 1'
_space_group_IT_number 1
_cell_length_a 4.863
_cell_length_b 6.012
_cell_length_c 18.911
_cell_angle_alpha 96.61
_cell_angle_beta 97.38
_cell_angle_gamma 90.03
loop_
_space_group_symop_operation_xyz
'x,y,z'
loop_
_atom_site_label
_atom_site_fract_x
_atom_site_fract_y
_atom_site_fract_z
O1 0.934 0.859 0.292
O2 0.533 0.241 0.759
O3 0.066 0.141 0.708
O4 0.679 0.542 0.915
O5 0.058 0.161 0.443
O6 0.942 0.839 0.557
O7 0.745 0.039 0.154
O8 0.842 0.366 0.043
O9 0.274 0.949 0.108
O10 0.473 0.744 0.509
O11 0.527 0.256 0.491
O12 0.245 0.217 0.243
O13 0.557 0.985 0.355
O14 0.255 0.961 0.846
O15 0.755 0.783 0.757
O16 0.726 0.051 0.892
O17 0.467 0.759 0.241
O18 0.158 0.634 0.957
O19 0.665 0.558 0.644
O20 0.335 0.442 0.356
O21 0.843 0.616 0.444
O22 0.636 0.801 0.042
O23 0.965 0.585 0.156
O24 0.035 0.415 0.844
O25 0.321 0.458 0.085
O26 0.364 0.199 0.958
O27 0.443 0.015 0.645
O28 0.132 0.655 0.694
O29 0.868 0.345 0.306
O30 0.157 0.384 0.556
Sn1 0.698 0.301 0.399
Sn2 0.302 0.699 0.601
Sn3 0.104 0.901 0.200
Sn4 0.896 0.099 0.800
B1 0.150 0.330 0.303
B2 0.957 0.525 0.907
B3 0.652 0.873 0.295
B4 0.348 0.127 0.705
B5 0.753 0.726 0.504
B6 0.554 0.923 0.102
B7 0.850 0.670 0.697
B8 0.043 0.475 0.093
B9 0.446 0.077 0.898
B10 0.247 0.274 0.496
Ca1 0.798 0.198 0.599
Ca2 0.596 0.398 0.195
Ca3 0.202 0.802 0.401
Ca4 0.404 0.602 0.805
Ca5 0.000 0.000 0.000
Ti1 0.500 0.500 0.000
```

Summary:
energy	-12.11	eV per atom
symmetry	No. 2
uncorrected formation energy	-2.723	eV/atom



Record 6
La2ReW | SCAN | PBEsol geometry

```
data_La2ReW
_space_group_name_H-M_alt 'P 1'
_space_group_IT_number 1
_cell_length_a 2.975
_cell_length_b 5.039
_cell_length_c 5.460
_cell_angle_alpha 90.00
_cell_angle_beta 96.02
_cell_angle_gamma 90.00
loop_
_space_group_symop_operation_xyz
'x,y,z'
loop_
_atom_site_label
_atom_site_fract_x
_atom_site_fract_y
_atom_site_fract_z
La1 0.737 0.000 0.754
La2 0.263 0.000 0.246
W1 0.000 0.500 0.500
Re1 0.500 0.500 0.000
```

Summary:
formation energy	0.925	eV/atom
offset from the most stable computed form	747	meV per atom
energy	-55.82	eV per atom
symmetry	No. 10



Record 7
LaAsS2 | SCAN | PBEsol geometry

```
data_LaAsS2
_space_group_name_H-M_alt 'P 1'
_space_group_IT_number 1
_cell_length_a 4.126
_cell_length_b 4.126
_cell_length_c 8.343
_cell_angle_alpha 75.68
_cell_angle_beta 75.68
_cell_angle_gamma 60.00
loop_
_space_group_symop_operation_xyz
'x,y,z'
loop_
_atom_site_label
_atom_site_fract_x
_atom_site_fract_y
_atom_site_fract_z
S1 0.103 0.103 0.691
S2 0.897 0.897 0.309
As1 0.000 0.000 0.000
La1 0.500 0.500 0.500
```

Summary:
energy	-21.68	eV per atom
symmetry	No. 166
uncorrected formation energy	-1.044	eV/atom



Record 8
Mg2TcHg | SCAN | PBEsol geometry

```
data_Mg2TcHg
_space_group_name_H-M_alt 'P 1'
_space_group_IT_number 1
_cell_length_a 4.568
_cell_length_b 4.568
_cell_length_c 4.568
_cell_angle_alpha 60.00
_cell_angle_beta 60.00
_cell_angle_gamma 60.00
loop_
_space_group_symop_operation_xyz
'x,y,z'
loop_
_atom_site_label
_atom_site_fract_x
_atom_site_fract_y
_atom_site_fract_z
Mg1 0.750 0.750 0.750
Mg2 0.250 0.250 0.250
Tc1 0.500 0.500 0.500
Hg1 0.000 0.000 0.000
```

Summary:
formation energy	0.143	eV/atom
energy	-28.15	eV per atom
symmetry	No. 225



Record 9
La2BiH2 | SCAN | PBEsol geometry

```
data_La2BiH2
_space_group_name_H-M_alt 'P 1'
_space_group_IT_number 1
_cell_length_a 4.814
_cell_length_b 4.814
_cell_length_c 5.790
_cell_angle_alpha 114.57
_cell_angle_beta 114.57
_cell_angle_gamma 90.00
loop_
_space_group_symop_operation_xyz
'x,y,z'
loop_
_atom_site_label
_atom_site_fract_x
_atom_site_fract_y
_atom_site_fract_z
La1 0.250 0.750 0.500
La2 0.750 0.250 0.500
H1 0.319 0.319 0.638
H2 0.681 0.681 0.362
Bi1 0.000 0.000 0.000
```

Summary:
energy	-35.02	eV per atom
symmetry	No. 139



Record 10
MgCu2Br | SCAN | PBEsol geometry

```
data_MgCu2Br
_space_group_name_H-M_alt 'P 1'
_space_group_IT_number 1
_cell_length_a 3.277
_cell_length_b 3.258
_cell_length_c 6.631
_cell_angle_alpha 90.00
_cell_angle_beta 104.23
_cell_angle_gamma 90.00
loop_
_space_group_symop_operation_xyz
'x,y,z'
loop_
_atom_site_label
_atom_site_fract_x
_atom_site_fract_y
_atom_site_fract_z
Br1 0.050 0.500 0.724
Cu1 0.796 0.500 0.216
Cu2 0.231 0.000 0.087
Mg1 0.424 0.000 0.472
```

Summary:
offset from the most stable computed form	0	meV per atom
energy	-13.82	eV per atom
symmetry	No. 6
uncorrected formation energy	-0.116	eV/atom



Record 11
BaSr2TiBr | SCAN | PBEsol geometry

```
data_BaSr2TiBr
_space_group_name_H-M_alt 'P 1'
_space_group_IT_number 1
_cell_length_a 4.910
_cell_length_b 6.730
_cell_length_c 6.730
_cell_angle_alpha 90.00
_cell_angle_beta 90.00
_cell_angle_gamma 90.00
loop_
_space_group_symop_operation_xyz
'x,y,z'
loop_
_atom_site_label
_atom_site_fract_x
_atom_site_fract_y
_atom_site_fract_z
Br1 0.500 0.000 0.000
Sr1 0.000 0.500 0.000
Sr2 0.000 0.000 0.500
Ti1 0.000 0.000 0.000
Ba1 0.500 0.500 0.500
```

Summary:
energy	-23.78	eV per atom
symmetry	No. 123
uncorrected formation energy	0.136	eV/atom



Record 12
Ag8Sb5As3S16 | SCAN | PBEsol geometry

```
data_Ag8Sb5As3S16
_space_group_name_H-M_alt 'P 1'
_space_group_IT_number 1
_cell_length_a 5.798
_cell_length_b 8.480
_cell_length_c 13.457
_cell_angle_alpha 97.24
_cell_angle_beta 90.13
_cell_angle_gamma 90.02
loop_
_space_group_symop_operation_xyz
'x,y,z'
loop_
_atom_site_label
_atom_site_fract_x
_atom_site_fract_y
_atom_site_fract_z
S1 0.809 0.581 0.699
S2 0.344 0.560 0.892
S3 0.310 0.925 0.793
S4 0.687 0.075 0.199
S5 0.156 0.075 0.394
S6 0.843 0.928 0.606
S7 0.656 0.425 0.108
S8 0.369 0.254 0.666
S9 0.124 0.183 0.053
S10 0.375 0.687 0.553
S11 0.131 0.746 0.169
S12 0.626 0.315 0.447
S13 0.858 0.813 0.948
S14 0.634 0.752 0.334
S15 0.870 0.250 0.831
S16 0.190 0.425 0.302
Ag1 0.752 0.435 0.293
Ag2 0.750 0.937 0.792
Ag3 0.247 0.575 0.709
Ag4 0.776 0.516 0.930
Ag5 0.225 0.477 0.072
Ag6 0.275 0.982 0.572
Ag7 0.249 0.071 0.210
Ag8 0.725 0.022 0.429
Sb1 0.209 0.719 0.362
Sb2 0.282 0.841 0.964
Sb3 0.705 0.779 0.142
Sb4 0.797 0.286 0.641
Sb5 0.301 0.219 0.853
As1 0.771 0.670 0.545
As2 0.728 0.167 0.046
As3 0.231 0.333 0.455
```

Summary:
energy	-20.55	eV per atom
symmetry	No. 1
uncorrected formation energy	-0.184	eV/atom



Q: The lowest energy belongs to which entry?
A: Os3Rh